1.
First-principles (PBE) data for a relaxed ScP4Ir crystal, as listed in Alexandria via LeMat-Bulk.

The structure in POSCAR format:
```
ScP4Ir
1.0
2.9315 -4.0875 -0.1284
-1.1149 -3.7991 -3.1051
2.8923 -0.8965 -4.0186
Sc P Ir
1 4 1
Cartesian
1.1772 -2.1958 -1.8130 Sc
1.4896 -5.0467 -2.5138 P
3.5103 -3.5830 -2.9745 P
2.9481 -5.4988 -4.5402 P
1.4698 -3.4376 -4.4755 P
0.0000 0.0000 0.0000 Ir
```

Properties
The calculation puts the uncorrected energy at -5.877 eV per atom. Its total magnetization is 0.0 μB/f.u. The symmetry is F-43m. Its formation energy is 0.26 eV/atom.

***

2.
First-principles (PBE) data for a relaxed ScPIr4 crystal, as listed in Alexandria via LeMat-Bulk.

The structure in POSCAR format:
```
ScPIr4
1.0
1.3398 -3.0429 -4.0099
1.4234 -4.9397 0.8408
-3.1271 -3.8978 -1.4703
Sc P Ir
1 1 4
Cartesian
0.0000 0.0000 0.0000 Sc
-0.2730 -8.9103 -3.4795 P
0.5322 -5.9765 -3.7424 Ir
-1.6976 -6.4033 -2.4747 Ir
0.5740 -6.9234 -1.3210 Ir
-0.1366 -4.4576 -1.7407 Ir
```

Properties
The calculation puts the uncorrected energy at -7.827 eV per atom. Its total magnetization is 0.0 μB/f.u. The symmetry is F-43m. Its formation energy is 0.04 eV/atom.

***

3.
First-principles (PBE) data for a relaxed Sc3P2Ir7 crystal, as listed in Alexandria via LeMat-Bulk.

The structure in POSCAR format:
```
Sc3P2Ir7
1.0
-1.9072 -0.7778 3.3262
3.4725 -0.3618 1.9065
-1.9737 13.0804 1.9271
Sc P Ir
3 2 7
Cartesian
0.7826 -0.5698 2.6164 Sc
0.6858 4.6905 3.7910 Sc
-1.0942 7.2502 3.3689 Sc
1.5396 10.4999 3.3382 P
-0.0408 2.2186 0.4954 P
-0.1753 9.5223 2.1263 Ir
1.5993 7.2580 2.6144 Ir
0.0000 0.0000 0.0000 Ir
1.6741 3.1962 1.7074 Ir
-1.0163 3.0166 2.4235 Ir
0.6079 8.9241 4.7363 Ir
-0.1005 5.4605 1.2193 Ir
```

Properties
The calculation puts the uncorrected energy at -8.282 eV per atom. Its total magnetization is 0.0 μB/f.u. The symmetry is Cmmm. Its formation energy is -0.63 eV/atom.

***

4.
First-principles (PBE) data for a relaxed Sc2PIr crystal, as listed in Alexandria via LeMat-Bulk.

The structure in POSCAR format:
```
Sc2PIr
1.0
-1.5910 -1.6426 -2.4380
2.9335 -0.7069 -1.4380
0.3479 -5.1430 3.2381
Sc P Ir
2 1 1
Cartesian
0.2586 -3.8228 2.4068 Sc
0.0893 -1.3202 0.8312 Sc
0.8452 -3.7463 -0.3190 P
0.6713 -1.1748 -1.9380 Ir
```

Properties
The calculation puts the uncorrected energy at -7.714 eV per atom. Its total magnetization is 0.0 μB/f.u. The symmetry is P4/mmm. Its formation energy is -0.98 eV/atom.

***

5.
First-principles (PBE) data for a relaxed Sc2P2Ir crystal, as listed in Alexandria via LeMat-Bulk.

The structure in POSCAR format:
```
Sc2P2Ir
1.0
6.2157 0.0000 0.0000
0.0000 6.2157 0.0000
0.0000 0.0000 4.0428
Sc P Ir
4 4 2
Cartesian
1.0773 4.1852 2.0214 Sc
4.1852 5.1384 2.0214 Sc
5.1384 2.0305 2.0214 Sc
2.0305 1.0773 2.0214 Sc
2.2875 5.3954 0.0000 P
5.3954 3.9282 0.0000 P
3.9282 0.8203 0.0000 P
0.8203 2.2875 0.0000 P
0.0000 0.0000 0.0000 Ir
3.1079 3.1079 0.0000 Ir
```

Properties
The calculation puts the uncorrected energy at -7.600 eV per atom. Its total magnetization is 0.0 μB/f.u. The symmetry is P4/mbm. Its formation energy is -1.13 eV/atom.

***

6.
First-principles (PBE) data for a relaxed ScPIr3 crystal, as listed in Alexandria via LeMat-Bulk.

The structure in POSCAR format:
```
ScPIr3
1.0
4.4296 0.0000 0.0000
0.0000 4.4296 0.0000
0.0000 0.0000 4.4296
Sc P Ir
1 1 3
Cartesian
2.2148 2.2148 2.2148 Sc
0.0000 0.0000 0.0000 P
0.0000 2.2148 0.0000 Ir
0.0000 0.0000 2.2148 Ir
2.2148 0.0000 0.0000 Ir
```

Properties
The calculation puts the uncorrected energy at -7.772 eV per atom. Its total magnetization is 0.0 μB/f.u. The symmetry is Pm-3m. Its formation energy is -0.11 eV/atom. The distance to the lowest polymorph of the same formula comes out at 0.000 eV/atom.

***

7.
First-principles (PBE) data for a relaxed Sc2PIr crystal, as listed in Alexandria via LeMat-Bulk.

The structure in POSCAR format:
```
Sc2PIr
1.0
6.3652 -1.8819 -0.0153
6.3652 1.8819 -0.0153
5.8166 0.0000 3.1978
Sc P Ir
2 1 1
Cartesian
13.8783 0.0000 2.3699 Sc
4.6687 0.0000 0.7972 Sc
0.0000 0.0000 0.0000 P
9.2735 0.0000 1.5836 Ir
```

Properties
The calculation puts the uncorrected energy at -7.603 eV per atom. Its total magnetization is 0.0 μB/f.u. The symmetry is R-3m. Its formation energy is -0.87 eV/atom.

***

8.
First-principles (PBE) data for a relaxed Sc2PIr crystal, as listed in Alexandria via LeMat-Bulk.

The structure in POSCAR format:
```
Sc2PIr
1.0
4.0569 -3.5250 -1.0393
2.7741 -2.4523 4.0317
-5.1692 0.9756 -1.5140
Sc P Ir
2 1 1
Cartesian
0.0000 0.0000 0.0000 Sc
0.5103 -2.2327 2.0070 Sc
1.1516 -2.7690 -0.5285 P
3.4155 -2.9887 1.4962 Ir
```

Properties
The calculation puts the uncorrected energy at -7.603 eV per atom. Its total magnetization is 0.0 μB/f.u. The symmetry is I-4m2. Its formation energy is -0.87 eV/atom.

***

9.
First-principles (PBE) data for a relaxed Sc2PIr crystal, as listed in Alexandria via LeMat-Bulk.

The structure in POSCAR format:
```
Sc2PIr
1.0
-0.2687 2.8339 0.9802
-2.8483 0.0665 -0.9731
-2.4410 -2.6403 6.9644
Sc P Ir
2 1 1
Cartesian
-2.3021 -2.4901 6.5682 Sc
-2.2773 0.6727 2.0545 Sc
-3.3130 -0.4475 5.0092 P
-1.3270 -1.4354 3.7862 Ir
```

Properties
The calculation puts the uncorrected energy at -7.183 eV per atom. Its total magnetization is 0.0 μB/f.u. The symmetry is P4mm. Its formation energy is -0.45 eV/atom.

***

10.
First-principles (PBE) data for a relaxed SmScP2Ir5 crystal, as listed in Alexandria via LeMat-Bulk.

The structure in POSCAR format:
```
SmScP2Ir5
1.0
4.0314 0.0000 0.0000
0.0000 4.0314 0.0000
0.0000 0.0000 10.5658
Sm Sc P Ir
1 1 2 5
Cartesian
0.0000 0.0000 5.2829 Sm
0.0000 0.0000 0.0000 Sc
2.0157 2.0157 2.9979 P
2.0157 2.0157 7.5678 P
0.0000 2.0157 1.9304 Ir
2.0157 0.0000 1.9304 Ir
0.0000 2.0157 8.6354 Ir
2.0157 0.0000 8.6354 Ir
2.0157 2.0157 5.2829 Ir
```

Properties
The calculation puts the uncorrected energy at -7.963 eV per atom. Its total magnetization is 0.0 μB/f.u. The symmetry is P4/mmm. Its formation energy is -0.61 eV/atom.

***

11.
First-principles (PBE) data for a relaxed SrSc2PIr crystal, as listed in Alexandria via LeMat-Bulk.

The structure in POSCAR format:
```
SrSc2PIr
1.0
4.8213 0.0000 0.0000
0.0000 5.5436 0.0000
0.0000 0.0000 4.8213
Sc Sr Ir P
2 1 1 1
Cartesian
0.0000 0.0000 2.4106 Sc
2.4106 0.0000 0.0000 Sc
0.0000 2.7718 0.0000 Sr
2.4106 2.7718 2.4106 Ir
0.0000 0.0000 0.0000 P
```

Properties
The calculation puts the uncorrected energy at -5.801 eV per atom. Its total magnetization is 0.0 μB/f.u. The symmetry is P4/mmm. Its formation energy is -0.08 eV/atom.

***

12.
First-principles (PBE) data for a relaxed Sc2TcPIr crystal, as listed in Alexandria via LeMat-Bulk.

The structure in POSCAR format:
```
Sc2TcPIr
1.0
5.0525 0.0000 0.0000
0.0000 4.3098 0.0000
0.0000 0.0000 5.0525
Sc P Ir Tc
2 1 1 1
Cartesian
0.0000 0.0000 2.5263 Sc
2.5263 0.0000 0.0000 Sc
0.0000 2.1549 0.0000 P
0.0000 0.0000 0.0000 Ir
2.5263 2.1549 2.5263 Tc
```

Properties
The calculation puts the uncorrected energy at -7.130 eV per atom. Its total magnetization is 1.8 μB/f.u. The symmetry is P4/mmm. Its formation energy is 0.33 eV/atom.

***

13.
First-principles (PBE) data for a relaxed ThScP2Ir5 crystal, as listed in Alexandria via LeMat-Bulk.

The structure in POSCAR format:
```
ThScP2Ir5
1.0
4.0632 0.0000 0.0000
0.0000 4.0632 0.0000
0.0000 0.0000 10.4428
Th Sc P Ir
1 1 2 5
Cartesian
0.0000 0.0000 5.2214 Th
0.0000 0.0000 0.0000 Sc
2.0316 2.0316 2.9239 P
2.0316 2.0316 7.5189 P
0.0000 2.0316 1.9172 Ir
2.0316 0.0000 1.9172 Ir
0.0000 2.0316 8.5256 Ir
2.0316 0.0000 8.5256 Ir
2.0316 2.0316 5.2214 Ir
```

Properties
The calculation puts the uncorrected energy at -8.323 eV per atom. Its total magnetization is 0.0 μB/f.u. The symmetry is P4/mmm. Its formation energy is -0.67 eV/atom.